# Li2ZrSe, optimized geometry, DFT PBE
# raw formation energy = -0.44 eV per atom
# spin magnetization = 0.0000 μB/atom
data_Li2ZrSe
_space_group_name_H-M_alt 'P 1 2/m 1'
_space_group_IT_number 10
_cell_length_a 3.6109
_cell_length_b 3.6210
_cell_length_c 5.4650
_cell_angle_alpha 90.00
_cell_angle_beta 90.77
_cell_angle_gamma 90.00
loop_
_space_group_symop_operation_xyz
'x,y,z'
'-x,-y,-z'
'-x,y,-z'
'x,-y,z'
loop_
_atom_site_label
_atom_site_fract_x
_atom_site_fract_y
_atom_site_fract_z
Li1 0.0083 0.0000 0.2854
Zr1 0.5000 0.5000 0.0000
Se1 0.5000 0.5000 0.5000



# LiMnIr, optimized geometry, DFT PBE
# calculated formation energy = 0.336 eV per atom
# energy above the most stable polymorph in this dataset = 0.4070 eV/atom
# spin magnetization = 0.2111 μB/atom
data_LiMnIr
_space_group_name_H-M_alt 'F -4 3 m'
_space_group_IT_number 216
_space_group_name_Hall 'F -4 2 3'
_cell_length_a 5.5236
_cell_length_b 5.5236
_cell_length_c 5.5236
_cell_angle_alpha 90.00
_cell_angle_beta 90.00
_cell_angle_gamma 90.00
loop_
_atom_site_label
_atom_site_fract_x
_atom_site_fract_y
_atom_site_fract_z
Li1 0.0000 0.0000 0.0000
Mn1 0.2500 0.2500 0.2500
Ir1 0.0000 0.0000 0.5000



Ordered calculated volume results: 71.4, 168.5; unit Å³ per cell.
Ordered DOS at the Fermi energy results: 0.68, 0.66; unit states/eV/atom.
Ordered uncorrected energy results: -4.406, -6.312; unit eV/atom.